AcZn3Cu2 after structural relaxation. Source: Alexandria via LeMat-Bulk, functional PBE.

```
data_AcZn3Cu2
_cell_length_a 5.551
_cell_length_b 5.551
_cell_length_c 4.134
_cell_angle_alpha 90.00
_cell_angle_beta 90.00
_cell_angle_gamma 120.00
_space_group_name_H-M_alt 'P 1'
_space_group_IT_number 1
_space_group_name_Hall 'P 1'
loop_
_atom_site_label
_atom_site_type_symbol
_atom_site_fract_x
_atom_site_fract_y
_atom_site_fract_z
_atom_site_occupancy
Ac1 Ac 0.000 0.000 0.000 1
Zn1 Zn 0.000 0.500 0.500 1
Zn2 Zn 0.500 0.000 0.500 1
Zn3 Zn 0.500 0.500 0.500 1
Cu1 Cu 0.333 0.667 0.000 1
Cu2 Cu 0.667 0.333 0.000 1
```

Output
size of the total moment	0.000	μB/atom
excess energy over the best structure of this formula in the dataset	0.000	eV/f.u.
ΔE_f	-250	meV per atom

V3Ga4Ni after structural relaxation. Source: Alexandria via LeMat-Bulk, functional PBE.

```
data_V3Ga4Ni
_cell_length_a 8.495
_cell_length_b 5.276
_cell_length_c 4.995
_cell_angle_alpha 90.00
_cell_angle_beta 90.00
_cell_angle_gamma 90.00
_space_group_name_H-M_alt 'P 1'
_space_group_IT_number 1
_space_group_name_Hall 'P 1'
loop_
_atom_site_label
_atom_site_type_symbol
_atom_site_fract_x
_atom_site_fract_y
_atom_site_fract_z
_atom_site_occupancy
V1 V 0.000 0.179 0.000 1
V2 V 0.244 0.619 0.690 1
V3 V 0.256 0.381 0.190 1
V4 V 0.500 0.821 0.500 1
V5 V 0.744 0.381 0.190 1
V6 V 0.756 0.619 0.690 1
Ga1 Ga 0.000 0.379 0.485 1
Ga2 Ga 0.000 0.660 0.013 1
Ga3 Ga 0.238 0.884 0.224 1
Ga4 Ga 0.262 0.116 0.724 1
Ga5 Ga 0.500 0.340 0.513 1
Ga6 Ga 0.500 0.621 0.985 1
Ga7 Ga 0.738 0.116 0.724 1
Ga8 Ga 0.762 0.884 0.224 1
Ni1 Ni 0.000 0.893 0.559 1
Ni2 Ni 0.500 0.107 0.059 1
```

Output
size of the total moment	0.000	μB/atom
ΔE_f	-192	meV per atom